[1]
The following is a DFT calculation (PBE) of a relaxed structure of BaLa2PuO8.

The structure in CIF format:
```
data_BaLa2PuO8
_chemical_formula_sum 'Ba1 La2 Pu1 O8'
_symmetry_space_group_name_H-M 'P 1 2/m 1'
_symmetry_Int_Tables_number 10
_cell_length_a 4.390
_cell_length_b 7.963
_cell_length_c 5.538
_cell_angle_alpha 90.00
_cell_angle_beta 96.76
_cell_angle_gamma 90.00
loop_
_symmetry_equiv_pos_as_xyz
'x,y,z'
'-x,-y,-z'
'-x,y,-z'
'x,-y,z'
loop_
_atom_site_label
_atom_site_type_symbol
_atom_site_fract_x
_atom_site_fract_y
_atom_site_fract_z
Ba1 Ba 0.000 0.000 0.000
La1 La 0.500 0.262 0.500
Pu1 Pu 0.000 0.500 0.000
O1 O 0.062 0.307 0.768
O2 O 0.407 0.500 0.214
O3 O 0.477 0.000 0.711
```

Properties
As for the magnetic moment: 1.628 μB per formula unit. The value obtained for the uncorrected formation energy is -2.747 eV per atom.


[2]
The following is a DFT calculation (PBE) of a relaxed structure of BaLaPuO4.

The structure in CIF format:
```
data_BaLaPuO4
_chemical_formula_sum 'Ba2 La2 Pu2 O8'
_symmetry_space_group_name_H-M 'I 4 m m'
_symmetry_Int_Tables_number 107
_symmetry_space_group_name_Hall 'I 4 -2'
_cell_length_a 4.305
_cell_length_b 4.305
_cell_length_c 13.661
_cell_angle_alpha 90.00
_cell_angle_beta 90.00
_cell_angle_gamma 90.00
loop_
_atom_site_label
_atom_site_type_symbol
_atom_site_fract_x
_atom_site_fract_y
_atom_site_fract_z
Ba1 Ba 0.000 0.000 0.000
La1 La 0.000 0.000 0.700
Pu1 Pu 0.000 0.000 0.345
O1 O 0.000 0.000 0.174
O2 O 0.000 0.000 0.530
O3 O 0.000 0.500 0.312
```

Properties
As for the magnetic moment: 4.948 μB per formula unit. The value obtained for the uncorrected formation energy is -2.837 eV per atom.


[3]
The following is a DFT calculation (PBE) of a relaxed structure of Rb2BaLaO.

The structure in CIF format:
```
data_Rb2BaLaO
_chemical_formula_sum 'Rb2 Ba1 La1 O1'
_symmetry_space_group_name_H-M 'P 4/m m m'
_symmetry_Int_Tables_number 123
_symmetry_space_group_name_Hall '-P 4 2'
_cell_length_a 6.221
_cell_length_b 6.221
_cell_length_c 5.208
_cell_angle_alpha 90.00
_cell_angle_beta 90.00
_cell_angle_gamma 90.00
loop_
_atom_site_label
_atom_site_type_symbol
_atom_site_fract_x
_atom_site_fract_y
_atom_site_fract_z
Rb1 Rb 0.000 0.500 0.000
Ba1 Ba 0.000 0.000 0.500
La1 La 0.500 0.500 0.500
O1 O 0.000 0.000 0.000
```

Properties
As for the magnetic moment: 2.255 μB per formula unit. The value obtained for the uncorrected formation energy is -0.263 eV per atom.


[4]
The following is a DFT calculation (PBE) of a relaxed structure of BaLa2ReO8.

The structure in CIF format:
```
data_BaLa2ReO8
_chemical_formula_sum 'Ba1 La2 Re1 O8'
_symmetry_space_group_name_H-M 'P -1'
_symmetry_Int_Tables_number 2
_cell_length_a 4.615
_cell_length_b 5.389
_cell_length_c 7.327
_cell_angle_alpha 89.98
_cell_angle_beta 72.41
_cell_angle_gamma 89.93
loop_
_symmetry_equiv_pos_as_xyz
'x,y,z'
'-x,-y,-z'
loop_
_atom_site_label
_atom_site_type_symbol
_atom_site_fract_x
_atom_site_fract_y
_atom_site_fract_z
Ba1 Ba 0.000 0.000 0.000
La1 La 0.387 0.500 0.286
Re1 Re 0.000 0.000 0.500
O1 O 0.181 0.253 0.608
O2 O 0.183 0.748 0.608
O3 O 0.239 0.500 0.006
O4 O 0.336 0.000 0.267
```

Properties
As for the magnetic moment: 0.213 μB per formula unit. The value obtained for the uncorrected formation energy is -2.490 eV per atom.


[5]
The following is a DFT calculation (PBE) of a relaxed structure of Ba2LaRe3O12.

The structure in CIF format:
```
data_Ba2LaRe3O12
_chemical_formula_sum 'Ba6 La3 Re9 O36'
_symmetry_space_group_name_H-M 'R -3 m'
_symmetry_Int_Tables_number 166
_symmetry_space_group_name_Hall '-R 3 2"'
_cell_length_a 7.4757
_cell_length_b 7.4757
_cell_length_c 16.5110
_cell_angle_alpha 90.00
_cell_angle_beta 90.00
_cell_angle_gamma 120.00
loop_
_atom_site_label
_atom_site_type_symbol
_atom_site_fract_x
_atom_site_fract_y
_atom_site_fract_z
Ba1 Ba 0.0000 0.0000 0.1149
La1 La 0.0000 0.0000 0.5000
Re1 Re 0.0000 0.5000 0.0000
O1 O 0.0348 0.5174 0.8867
O2 O 0.0817 0.5409 0.3189
```

Properties
As for the magnetic moment: 0.738 μB per formula unit. The value obtained for the uncorrected formation energy is -2.137 eV per atom.


[6]
The following is a DFT calculation (PBE) of a relaxed structure of BaLaRe2O8.

The structure in CIF format:
```
data_BaLaRe2O8
_chemical_formula_sum 'Ba1 La1 Re2 O8'
_symmetry_space_group_name_H-M 'P -3 m 1'
_symmetry_Int_Tables_number 164
_symmetry_space_group_name_Hall '-P 3 2"'
_cell_length_a 6.0399
_cell_length_b 6.0399
_cell_length_c 7.8248
_cell_angle_alpha 90.00
_cell_angle_beta 90.00
_cell_angle_gamma 120.00
loop_
_atom_site_label
_atom_site_type_symbol
_atom_site_fract_x
_atom_site_fract_y
_atom_site_fract_z
Ba1 Ba 0.0000 0.0000 0.0000
La1 La 0.0000 0.0000 0.5000
Re1 Re 0.3333 0.6667 0.7876
O1 O 0.1672 0.3344 0.7106
O2 O 0.3333 0.6667 0.0170
```

Properties
As for the magnetic moment: 3.003 μB per formula unit. The value obtained for the uncorrected formation energy is -2.082 eV per atom.


[7]
The following is a DFT calculation (PBE) of a relaxed structure of BaLaRhO4.

The structure in CIF format:
```
data_BaLaRhO4
_chemical_formula_sum 'Ba2 La2 Rh2 O8'
_symmetry_space_group_name_H-M 'I 4 m m'
_symmetry_Int_Tables_number 107
_symmetry_space_group_name_Hall 'I 4 -2'
_cell_length_a 4.052
_cell_length_b 4.052
_cell_length_c 12.801
_cell_angle_alpha 90.00
_cell_angle_beta 90.00
_cell_angle_gamma 90.00
loop_
_atom_site_label
_atom_site_type_symbol
_atom_site_fract_x
_atom_site_fract_y
_atom_site_fract_z
Ba1 Ba 0.000 0.000 0.000
La1 La 0.000 0.000 0.718
Rh1 Rh 0.000 0.000 0.362
O1 O 0.000 0.000 0.198
O2 O 0.000 0.000 0.533
O3 O 0.000 0.500 0.337
```

Properties
As for the magnetic moment: 0.000 μB per formula unit. The value obtained for the uncorrected formation energy is -2.223 eV per atom.


[8]
The following is a DFT calculation (PBE) of a relaxed structure of Ba2LaRhO5.

The structure in CIF format:
```
data_Ba2LaRhO5
_chemical_formula_sum 'Ba4 La2 Rh2 O10'
_symmetry_space_group_name_H-M 'P 4/m b m'
_symmetry_Int_Tables_number 127
_symmetry_space_group_name_Hall '-P 4 2ab'
_cell_length_a 6.916
_cell_length_b 6.916
_cell_length_c 6.384
_cell_angle_alpha 90.00
_cell_angle_beta 90.00
_cell_angle_gamma 90.00
loop_
_atom_site_label
_atom_site_type_symbol
_atom_site_fract_x
_atom_site_fract_y
_atom_site_fract_z
Ba1 Ba 0.167 0.333 0.000
La1 La 0.000 0.000 0.500
Rh1 Rh 0.000 0.500 0.500
O1 O 0.000 0.000 0.000
O2 O 0.151 0.651 0.298
```

Properties
As for the magnetic moment: 2.011 μB per formula unit. The value obtained for the uncorrected formation energy is -2.013 eV per atom.